DFT (PBEsol) results for B2OsRu after structural relaxation.

Unit cell a=3.804 b=3.804 c=3.804 alpha=60.00 beta=60.00 gamma=60.00
Fractional positions:
Ru (0.000, 0.000, 0.000)
B (0.250, 0.250, 0.250)
B (0.750, 0.750, 0.750)
Os (0.500, 0.500, 0.500)

- energy of formation from the pure elements (eV per atom) = 0.11
- volume (Å³/cell) = 39
- crystal system = cubic
- spin magnetization (μB/f.u.) = 0.000
- raw total energy (eV per atom) = -8.992
- symmetry = Fm-3m (225)


DFT (PBEsol) results for BOs3S after structural relaxation.

Unit cell a=4.264 b=4.264 c=4.264 alpha=90.00 beta=90.00 gamma=90.00
Fractional positions:
S (0.000, 0.000, 0.000)
B (0.500, 0.500, 0.500)
Os (0.000, 0.500, 0.000)
Os (0.000, 0.000, 0.500)
Os (0.500, 0.000, 0.000)

- volume (Å³/cell) = 78
- crystal system = cubic
- spin magnetization (μB/f.u.) = 0.003
- E_form (uncorrected) (eV/atom) = 2.09
- raw total energy (eV per atom) = -7.519
- symmetry = Pm-3m (221)


DFT (PBEsol) results for BSbOs3 after structural relaxation.

Unit cell a=4.124 b=4.124 c=4.124 alpha=90.00 beta=90.00 gamma=90.00
Fractional positions:
Sb (0.500, 0.500, 0.500)
B (0.000, 0.000, 0.000)
Os (0.000, 0.500, 0.000)
Os (0.000, 0.000, 0.500)
Os (0.500, 0.000, 0.000)

- volume (Å³/cell) = 70
- crystal system = cubic
- spin magnetization (μB/f.u.) = 0.000
- E_form (uncorrected) (eV/atom) = 0.49
- raw total energy (eV per atom) = -9.156
- symmetry = Pm-3m (221)


DFT (PBEsol) results for BSbTe2Os after structural relaxation.

Unit cell a=4.473 b=4.638 c=4.638 alpha=90.00 beta=90.00 gamma=90.00
Fractional positions:
Sb (0.500, 0.000, 0.000)
B (0.000, 0.000, 0.000)
Te (0.000, 0.000, 0.500)
Te (0.000, 0.500, 0.000)
Os (0.500, 0.500, 0.500)

- volume (Å³/cell) = 96
- crystal system = tetragonal
- spin magnetization (μB/f.u.) = 0.000
- E_form (uncorrected) (eV/atom) = 1.26
- raw total energy (eV per atom) = -4.905
- symmetry = P4/mmm (123)


DFT (PBEsol) results for Ti2BSbOs after structural relaxation.

Unit cell a=4.027 b=4.789 c=4.789 alpha=90.00 beta=90.00 gamma=90.00
Fractional positions:
Sb (0.500, 0.500, 0.500)
B (0.500, 0.000, 0.000)
Os (0.000, 0.000, 0.000)
Ti (0.000, 0.000, 0.500)
Ti (0.000, 0.500, 0.000)

- volume (Å³/cell) = 92
- crystal system = tetragonal
- spin magnetization (μB/f.u.) = 0.001
- E_form (uncorrected) (eV/atom) = 0.39
- raw total energy (eV per atom) = -7.693
- symmetry = P4/mmm (123)


DFT (PBEsol) results for ScB2Os after structural relaxation.

Unit cell a=5.167 b=5.611 c=6.138 alpha=90.00 beta=90.00 gamma=90.00
Fractional positions:
Sc (0.750, 0.990, 0.329)
Sc (0.750, 0.490, 0.171)
Sc (0.250, 0.010, 0.671)
Sc (0.250, 0.510, 0.829)
B (0.920, 0.646, 0.533)
B (0.580, 0.146, 0.967)
B (0.420, 0.354, 0.467)
B (0.080, 0.854, 0.033)
B (0.080, 0.354, 0.467)
B (0.420, 0.854, 0.033)
B (0.580, 0.646, 0.533)
B (0.920, 0.146, 0.967)
Os (0.750, 0.823, 0.820)
Os (0.750, 0.323, 0.680)
Os (0.250, 0.177, 0.180)
Os (0.250, 0.677, 0.320)

- energy of formation from the pure elements (eV per atom) = -0.73
- volume (Å³/cell) = 178
- crystal system = orthorhombic
- spin magnetization (μB/f.u.) = 0.000
- raw total energy (eV per atom) = -8.939
- symmetry = Pnma (62)


DFT (PBEsol) results for Sc3BOs after structural relaxation.

Unit cell a=4.887 b=4.887 c=4.887 alpha=90.00 beta=90.00 gamma=90.00
Fractional positions:
Sc (0.000, 0.500, 0.000)
Sc (0.000, 0.000, 0.500)
Sc (0.500, 0.000, 0.000)
B (0.500, 0.500, 0.500)
Os (0.000, 0.000, 0.000)

- energy of formation from the pure elements (eV per atom) = 0.84
- volume (Å³/cell) = 117
- crystal system = cubic
- spin magnetization (μB/f.u.) = 0.000
- raw total energy (eV per atom) = -6.970
- symmetry = Pm-3m (221)


DFT (PBEsol) results for ScB2Os after structural relaxation.

Unit cell a=4.017 b=4.017 c=7.550 alpha=105.43 beta=105.43 gamma=90.00
Fractional positions:
Sc (0.500, 0.500, 0.000)
Sc (0.750, 0.250, 0.500)
B (0.625, 0.875, 0.750)
B (0.125, 0.875, 0.750)
B (0.125, 0.875, 0.250)
B (0.125, 0.375, 0.250)
Os (0.000, 0.000, 0.000)
Os (0.250, 0.750, 0.500)

- energy of formation from the pure elements (eV per atom) = -0.07
- volume (Å³/cell) = 113
- crystal system = tetragonal
- spin magnetization (μB/f.u.) = 0.000
- raw total energy (eV per atom) = -8.284
- symmetry = I4_1/amd (141)